# 1
Entry from Alexandria: a PBEsol-optimized structure of NaGaTc3 (meta-GGA SCAN).

Cell: 4.419 4.419 4.419 Å, 90.00 90.00 90.00°
Fractional coordinates of all 5 atoms:
Na 0.000 0.000 0.000
Tc 0.000 0.500 0.000
Tc 0.000 0.000 0.500
Tc 0.500 0.000 0.000
Ga 0.500 0.500 0.500

Results
Density = 7.4 g/cm³
Total magnetic moment = 5.42 μB/f.u.
Volume = 86.3 Å³ per cell
Space group = Pm-3m (221)
Calculated formation energy = 2.4279 eV per atom

***

# 2
Entry from Alexandria: a PBEsol-optimized structure of Na3TlGa (meta-GGA SCAN).

Cell: 5.720 5.720 5.720 Å, 90.00 90.00 90.00°
Fractional coordinates of all 5 atoms:
Na 0.000 0.500 0.000
Na 0.000 0.000 0.500
Na 0.500 0.000 0.000
Tl 0.000 0.000 0.000
Ga 0.500 0.500 0.500

Results
Density = 3.0 g/cm³
Total magnetic moment = 0.00 μB/f.u.
Volume = 187.1 Å³ per cell
Space group = Pm-3m (221)
Calculated formation energy = 0.3148 eV per atom

***

# 3
Entry from Alexandria: a PBEsol-optimized structure of NaY2Ga2 (meta-GGA SCAN).

Cell: 4.682 4.682 6.987 Å, 109.57 109.57 90.00°
Fractional coordinates of all 5 atoms:
Y 0.250 0.750 0.500
Y 0.750 0.250 0.500
Na 0.000 0.000 0.000
Ga 0.403 0.403 0.805
Ga 0.597 0.597 0.195

Results
Density = 4.2 g/cm³
Total magnetic moment = 0.87 μB/f.u.
Volume = 134.9 Å³ per cell
Space group = I4/mmm (139)
Calculated formation energy = -0.0992 eV per atom

***

What did the second record say?
Entry from Alexandria: a PBEsol-optimized structure of Na3TlGa (meta-GGA SCAN).

Cell: 5.720 5.720 5.720 Å, 90.00 90.00 90.00°
Fractional coordinates of all 5 atoms:
Na 0.000 0.500 0.000
Na 0.000 0.000 0.500
Na 0.500 0.000 0.000
Tl 0.000 0.000 0.000
Ga 0.500 0.500 0.500

Results
Density = 3.0 g/cm³
Total magnetic moment = 0.00 μB/f.u.
Volume = 187.1 Å³ per cell
Space group = Pm-3m (221)
Calculated formation energy = 0.3148 eV per atom

***

Repeat the second record exactly.
Entry from Alexandria: a PBEsol-optimized structure of Na3TlGa (meta-GGA SCAN).

Cell: 5.720 5.720 5.720 Å, 90.00 90.00 90.00°
Fractional coordinates of all 5 atoms:
Na 0.000 0.500 0.000
Na 0.000 0.000 0.500
Na 0.500 0.000 0.000
Tl 0.000 0.000 0.000
Ga 0.500 0.500 0.500

Results
Density = 3.0 g/cm³
Total magnetic moment = 0.00 μB/f.u.
Volume = 187.1 Å³ per cell
Space group = Pm-3m (221)
Calculated formation energy = 0.3148 eV per atom

***

Q: Which of these has the highest total magnetic moment?
A: NaGaTc3